VASP calculation (GGA-PBE) on an optimized crystal structure of Ho5Tm4Cd.

The structure belongs to space group P4/mmm (No. 123); the cell edges are 3.532, 3.532 and 23.614 Å and the angles 90.00°, 90.00° and 90.00°. The asymmetric unit holds Ho at (0.000, 0.000, 0.000), Ho at (0.000, 0.000, 0.206), Ho at (0.000, 0.000, 0.412), Tm at (0.500, 0.500, 0.103), Tm at (0.500, 0.500, 0.309) and Cd at (0.500, 0.500, 0.500).

The value obtained for the energy is -0.155 hartree per atom. For the density of states at the Fermi level, the calculation gives 13.636 states/eV/cell. For the total moment, the calculation gives 0.0 μB/cell.

---

VASP calculation (GGA-PBE) on an optimized crystal structure of HoTm6Cd.

The structure belongs to space group R-3 (No. 148, hexagonal axes); the cell edges are 9.1121, 9.1121 and 9.8595 Å and the angles 90.00°, 90.00° and 120.00°. The asymmetric unit holds Ho at (0.0000, 0.0000, 0.0000), Tm at (0.0243, 0.2583, 0.7175) and Cd at (0.0000, 0.0000, 0.5000).

The value obtained for the energy is -0.146 hartree per atom. For the density of states at the Fermi level, the calculation gives 32.621 states/eV/cell. For the total moment, the calculation gives 0.0 μB/cell.

---

VASP calculation (GGA-PBE) on an optimized crystal structure of Ho4Tm4Cd.

The structure belongs to space group I4/mmm (No. 139); the cell edges are 10.371, 10.371 and 4.917 Å and the angles 90.00°, 90.00° and 90.00°. The asymmetric unit holds Ho at (0.165, 0.165, 0.000), Tm at (0.000, 0.333, 0.500) and Cd at (0.000, 0.000, 0.500).

The value obtained for the energy is -0.152 hartree per atom. For the density of states at the Fermi level, the calculation gives 27.844 states/eV/cell. For the total moment, the calculation gives 0.0 μB/cell.

---

VASP calculation (GGA-PBE) on an optimized crystal structure of Ho4Tm3Cd.

The structure belongs to space group Imm2 (No. 44); the cell edges are 6.098, 8.836 and 9.715 Å and the angles 90.00°, 90.00° and 90.00°. The asymmetric unit holds Ho at (0.000, 0.174, 0.000), Ho at (0.249, 0.500, 0.022), Tm at (0.000, 0.317, 0.681), Tm at (0.000, 0.500, 0.346) and Cd at (0.000, 0.000, 0.259).

The value obtained for the energy is -0.136 hartree per atom. For the density of states at the Fermi level, the calculation gives 25.837 states/eV/cell. For the total moment, the calculation gives 0.0 μB/cell.

---

VASP calculation (GGA-PBE) on an optimized crystal structure of HoTmCd5.

The structure belongs to space group P4/mmm (No. 123); the cell edges are 5.094, 5.094 and 6.924 Å and the angles 90.00°, 90.00° and 90.00°. The asymmetric unit holds Ho at (0.000, 0.000, 0.000), Tm at (0.500, 0.500, 0.500), Cd at (0.000, 0.500, 0.268) and Cd at (0.500, 0.500, 0.000).

The value obtained for the energy is -0.074 hartree per atom. For the density of states at the Fermi level, the calculation gives 4.626 states/eV/cell. For the total moment, the calculation gives 0.0 μB/cell.

---

VASP calculation (GGA-PBE) on an optimized crystal structure of Ho3Tm5Cd2.

The structure belongs to space group Ibam (No. 72); the cell edges are 13.171, 14.203 and 6.566 Å and the angles 90.00°, 90.00° and 90.00°. The asymmetric unit holds Ho at (0.000, 0.000, 0.250), Ho at (0.142, 0.216, 0.000), Tm at (0.000, 0.500, 0.250), Tm at (0.097, 0.327, 0.500), Tm at (0.237, 0.500, 0.250) and Cd at (0.134, 0.133, 0.500).

The value obtained for the energy is -0.133 hartree per atom. For the density of states at the Fermi level, the calculation gives 46.406 states/eV/cell. For the total moment, the calculation gives 0.0 μB/cell.

---

VASP calculation (GGA-PBE) on an optimized crystal structure of HoTm6Cd2.

The structure belongs to space group C2/m (No. 12); the cell edges are 12.449, 3.677 and 11.720 Å and the angles 90.00°, 108.74° and 90.00°. The asymmetric unit holds Ho at (0.000, 0.000, 0.000), Tm at (0.014, 0.000, 0.340), Tm at (0.184, 0.500, 0.877), Tm at (0.187, 0.500, 0.582) and Cd at (0.147, 0.500, 0.211).

The value obtained for the energy is -0.140 hartree per atom. For the density of states at the Fermi level, the calculation gives 19.764 states/eV/cell. For the total moment, the calculation gives 0.0 μB/cell.

---

VASP calculation (GGA-PBE) on an optimized crystal structure of HoTm3Cd.

The structure belongs to space group P2_1/m (No. 11); the cell edges are 3.654, 9.488 and 9.039 Å and the angles 90.00°, 101.63° and 90.00°. The asymmetric unit holds Ho at (0.014, 0.250, 0.026), Tm at (0.200, 0.250, 0.400), Tm at (0.396, 0.006, 0.793) and Cd at (0.166, 0.750, 0.331).

The value obtained for the energy is -0.136 hartree per atom. For the density of states at the Fermi level, the calculation gives 16.223 states/eV/cell. For the total moment, the calculation gives 0.0 μB/cell.

---

VASP calculation (GGA-PBE) on an optimized crystal structure of Ho4Tm5Cd2.

The structure belongs to space group P2/m (No. 10); the cell edges are 8.470, 3.437 and 11.060 Å and the angles 90.00°, 93.27° and 90.00°. The asymmetric unit holds Ho at (0.146, 0.000, 0.384), Ho at (0.278, 0.000, 0.950), Tm at (0.203, 0.500, 0.667), Tm at (0.430, 0.500, 0.205), Tm at (0.500, 0.500, 0.500) and Cd at (0.055, 0.500, 0.133).

The value obtained for the energy is -0.141 hartree per atom. For the density of states at the Fermi level, the calculation gives 16.139 states/eV/cell. For the total moment, the calculation gives 0.0 μB/cell.

---

VASP calculation (GGA-PBE) on an optimized crystal structure of Ho2Tm2Cd.

The structure belongs to space group I4/mmm (No. 139); the cell edges are 3.511, 3.511 and 23.229 Å and the angles 90.00°, 90.00° and 90.00°. The asymmetric unit holds Ho at (0.000, 0.000, 0.196), Tm at (0.000, 0.000, 0.410) and Cd at (0.000, 0.000, 0.000).

The value obtained for the energy is -0.144 hartree per atom. For the density of states at the Fermi level, the calculation gives 14.858 states/eV/cell. For the total moment, the calculation gives 0.0 μB/cell.

---

VASP calculation (GGA-PBE) on an optimized crystal structure of Ho7TmCd2.

The structure belongs to space group Cmmm (No. 65); the cell edges are 8.900, 15.730 and 5.176 Å and the angles 90.00°, 90.00° and 90.00°. The asymmetric unit holds Ho at (0.000, 0.000, 0.000), Ho at (0.000, 0.279, 0.500), Ho at (0.182, 0.384, 0.000), Tm at (0.000, 0.500, 0.500) and Cd at (0.000, 0.196, 0.000).

The value obtained for the energy is -0.126 hartree per atom. For the density of states at the Fermi level, the calculation gives 37.802 states/eV/cell. For the total moment, the calculation gives 0.0 μB/cell.

---

VASP calculation (GGA-PBE) on an optimized crystal structure of Ho3Tm7Cd.

The structure belongs to space group P3m1 (No. 156); the cell edges are 6.8586, 6.8586 and 8.4262 Å and the angles 90.00°, 90.00° and 120.00°. The asymmetric unit holds Ho at (0.1683, 0.3366, 0.0000), Tm at (0.0062, 0.5031, 0.3396), Tm at (0.3319, 0.1660, 0.6634), Tm at (0.3333, 0.6667, 0.6710) and Cd at (0.0000, 0.0000, 0.3403).

The value obtained for the energy is -0.147 hartree per atom. For the density of states at the Fermi level, the calculation gives 14.682 states/eV/cell. For the total moment, the calculation gives 0.0 μB/cell.

---

VASP calculation (GGA-PBE) on an optimized crystal structure of Ho2TmCd4.

The structure belongs to space group I4/mmm (No. 139); the cell edges are 5.288, 5.288 and 13.722 Å and the angles 90.00°, 90.00° and 90.00°. The asymmetric unit holds Ho at (0.000, 0.000, 0.243), Tm at (0.000, 0.000, 0.500) and Cd at (0.000, 0.500, 0.114).

The value obtained for the energy is -0.096 hartree per atom. For the density of states at the Fermi level, the calculation gives 9.473 states/eV/cell. For the total moment, the calculation gives 0.0 μB/cell.

---

VASP calculation (GGA-PBE) on an optimized crystal structure of Ho12Tm5Cd2.

The structure belongs to space group C2/m (No. 12); the cell edges are 15.531, 9.121 and 8.136 Å and the angles 90.00°, 90.59° and 90.00°. The asymmetric unit holds Ho at (0.054, 0.000, 0.321), Ho at (0.090, 0.500, 0.894), Ho at (0.125, 0.196, 0.661), Ho at (0.154, 0.314, 0.243), Tm at (0.000, 0.500, 0.500), Tm at (0.194, 0.000, 0.004), Tm at (0.237, 0.500, 0.584) and Cd at (0.000, 0.184, 0.000).

The value obtained for the energy is -0.151 hartree per atom. For the density of states at the Fermi level, the calculation gives 58.292 states/eV/cell. For the total moment, the calculation gives 0.0 μB/cell.

---

VASP calculation (GGA-PBE) on an optimized crystal structure of Ho2TmCd.

The structure belongs to space group Fm-3m (No. 225); the cell edges are 7.635, 7.635 and 7.635 Å and the angles 90.00°, 90.00° and 90.00°. The asymmetric unit holds Ho at (0.250, 0.250, 0.250), Tm at (0.000, 0.000, 0.000) and Cd at (0.000, 0.000, 0.500).

The value obtained for the energy is -0.134 hartree per atom. For the density of states at the Fermi level, the calculation gives 19.556 states/eV/cell. For the total moment, the calculation gives 0.0 μB/cell.

---

VASP calculation (GGA-PBE) on an optimized crystal structure of HoTm4Cd5.

The structure belongs to space group P4/mmm (No. 123); the cell edges are 3.699, 3.699 and 18.555 Å and the angles 90.00°, 90.00° and 90.00°. The asymmetric unit holds Ho at (0.000, 0.000, 0.000), Tm at (0.000, 0.000, 0.201), Tm at (0.000, 0.000, 0.400), Cd at (0.500, 0.500, 0.102), Cd at (0.500, 0.500, 0.300) and Cd at (0.500, 0.500, 0.500).

The value obtained for the energy is -0.111 hartree per atom. For the density of states at the Fermi level, the calculation gives 8.562 states/eV/cell. For the total moment, the calculation gives 0.0 μB/cell.

---

VASP calculation (GGA-PBE) on an optimized crystal structure of HoTm2Cd2.

The structure belongs to space group P2_1/m (No. 11); the cell edges are 3.682, 5.286 and 13.715 Å and the angles 90.00°, 97.73° and 90.00°. The asymmetric unit holds Ho at (0.150, 0.250, 0.299), Tm at (0.046, 0.750, 0.092), Tm at (0.236, 0.750, 0.473), Cd at (0.359, 0.250, 0.717) and Cd at (0.450, 0.750, 0.899).

The value obtained for the energy is -0.122 hartree per atom. For the density of states at the Fermi level, the calculation gives 8.661 states/eV/cell. For the total moment, the calculation gives 0.0 μB/cell.

---

VASP calculation (GGA-PBE) on an optimized crystal structure of HoTmCd4.

The structure belongs to space group C2/m (No. 12); the cell edges are 12.809, 3.437 and 6.804 Å and the angles 90.00°, 105.34° and 90.00°. The asymmetric unit holds Ho at (0.000, 0.000, 0.000), Tm at (0.000, 0.000, 0.500), Cd at (0.172, 0.500, 0.338) and Cd at (0.173, 0.500, 0.835).

The value obtained for the energy is -0.086 hartree per atom. For the density of states at the Fermi level, the calculation gives 8.104 states/eV/cell. For the total moment, the calculation gives 0.7 μB/cell.

---

VASP calculation (GGA-PBE) on an optimized crystal structure of Ho12Tm7Cd.

The structure belongs to space group R-3 (No. 148, hexagonal axes); the cell edges are 12.1260, 12.1260 and 15.1153 Å and the angles 90.00°, 90.00° and 120.00°. The asymmetric unit holds Ho at (0.0339, 0.1883, 0.3097), Ho at (0.0719, 0.8128, 0.9222), Tm at (0.0000, 0.0000, 0.5000), Tm at (0.0194, 0.4434, 0.2019) and Cd at (0.0000, 0.0000, 0.0000).

The value obtained for the energy is -0.153 hartree per atom. For the density of states at the Fermi level, the calculation gives 127.668 states/eV/cell. For the total moment, the calculation gives 0.1 μB/cell.

---

VASP calculation (GGA-PBE) on an optimized crystal structure of Ho2TmCd3.

The structure belongs to space group P4/mmm (No. 123); the cell edges are 3.720, 3.720 and 11.137 Å and the angles 90.00°, 90.00° and 90.00°. The asymmetric unit holds Ho at (0.000, 0.000, 0.167), Tm at (0.000, 0.000, 0.500), Cd at (0.500, 0.500, 0.000) and Cd at (0.500, 0.500, 0.336).

The value obtained for the energy is -0.112 hartree per atom. For the density of states at the Fermi level, the calculation gives 5.448 states/eV/cell. For the total moment, the calculation gives 0.0 μB/cell.

---

VASP calculation (GGA-PBE) on an optimized crystal structure of Ho7Tm4Cd.

The structure belongs to space group P-3m1 (No. 164); the cell edges are 5.5004, 5.5004 and 13.7689 Å and the angles 90.00°, 90.00° and 120.00°. The asymmetric unit holds Ho at (0.0000, 0.0000, 0.0000), Ho at (0.0000, 0.0000, 0.2688), Ho at (0.3333, 0.6667, 0.1731), Ho at (0.3333, 0.6667, 0.4247), Tm at (0.3333, 0.6667, 0.6846), Tm at (0.3333, 0.6667, 0.9271) and Cd at (0.0000, 0.0000, 0.5000).

The value obtained for the energy is -0.154 hartree per atom. For the density of states at the Fermi level, the calculation gives 23.445 states/eV/cell. For the total moment, the calculation gives 0.0 μB/cell.

---

VASP calculation (GGA-PBE) on an optimized crystal structure of Ho3Tm2Cd3.

The structure belongs to space group Immm (No. 71); the cell edges are 3.699, 5.308 and 21.999 Å and the angles 90.00°, 90.00° and 90.00°. The asymmetric unit holds Ho at (0.000, 0.000, 0.000), Ho at (0.000, 0.500, 0.124), Tm at (0.000, 0.000, 0.234), Cd at (0.000, 0.000, 0.500) and Cd at (0.000, 0.500, 0.382).

The value obtained for the energy is -0.125 hartree per atom. For the density of states at the Fermi level, the calculation gives 19.043 states/eV/cell. For the total moment, the calculation gives 0.0 μB/cell.

---

no.,formation enthalpy at 0 K (eV per atom)
1,-0.04
2,0.06
3,-0.01
4,0.39
5,-0.07
6,0.18
7,-0.12
8,0.07
9,0.02
10,-0.11
11,0.42
12,0.17
13,-0.15
14,0.05
15,-0.02
16,-0.31
17,-0.25
18,-0.22
19,0.20
20,-0.32
21,0.06
22,-0.23